Entry 1:
# AlAgIr, relaxed, DFT GGA-PBE
# VASP energy ... -5.08 eV/atom
# Excess energy over the best structure of this formula in the dataset ... 0 meV per atom
# Volume ... 55 Å³/cell
# Symmetry ... F-43m
data_AlAgIr
_cell_length_a 4.2773
_cell_length_b 4.2773
_cell_length_c 4.2773
_cell_angle_alpha 60.00
_cell_angle_beta 60.00
_cell_angle_gamma 60.00
_symmetry_space_group_name_H-M 'P 1'
_symmetry_Int_Tables_number 1
_symmetry_space_group_name_Hall 'P 1'
loop_
_atom_site_label
_atom_site_type_symbol
_atom_site_fract_x
_atom_site_fract_y
_atom_site_fract_z
_atom_site_occupancy
Al1 Al 0.0000 0.0000 0.0000 1
Ag1 Ag 0.5000 0.5000 0.5000 1
Ir1 Ir 0.7500 0.7500 0.7500 1


Entry 2:
# LuCuPbS3, relaxed, DFT GGA-PBE
# VASP energy ... -5.14 eV/atom
# Volume ... 263 Å³/cell
# Symmetry ... P2_1/m
data_LuCuPbS3
_cell_length_a 7.4644
_cell_length_b 3.8647
_cell_length_c 9.5076
_cell_angle_alpha 90.00
_cell_angle_beta 106.44
_cell_angle_gamma 90.00
_symmetry_space_group_name_H-M 'P 1'
_symmetry_Int_Tables_number 1
_symmetry_space_group_name_Hall 'P 1'
loop_
_atom_site_label
_atom_site_type_symbol
_atom_site_fract_x
_atom_site_fract_y
_atom_site_fract_z
_atom_site_occupancy
Lu1 Lu 0.1934 0.2500 0.1593 1
Lu2 Lu 0.8066 0.7500 0.8407 1
Cu1 Cu 0.4168 0.7500 0.4110 1
Cu2 Cu 0.5832 0.2500 0.5890 1
Pb1 Pb 0.2452 0.7500 0.6999 1
Pb2 Pb 0.7548 0.2500 0.3001 1
S1 S 0.0662 0.2500 0.8641 1
S2 S 0.2476 0.2500 0.4507 1
S3 S 0.4426 0.7500 0.1722 1
S4 S 0.5574 0.2500 0.8278 1
S5 S 0.7524 0.7500 0.5493 1
S6 S 0.9338 0.7500 0.1359 1


Entry 3:
# LuMg2Sn, relaxed, DFT GGA-PBE
# VASP energy ... -3.27 eV/atom
# Excess energy over the best structure of this formula in the dataset ... 0 meV per atom
# Volume ... 93 Å³/cell
# Symmetry ... P4/mmm
data_LuMg2Sn
_cell_length_a 4.4475
_cell_length_b 4.4475
_cell_length_c 4.6841
_cell_angle_alpha 90.00
_cell_angle_beta 90.00
_cell_angle_gamma 90.00
_symmetry_space_group_name_H-M 'P 1'
_symmetry_Int_Tables_number 1
_symmetry_space_group_name_Hall 'P 1'
loop_
_atom_site_label
_atom_site_type_symbol
_atom_site_fract_x
_atom_site_fract_y
_atom_site_fract_z
_atom_site_occupancy
Lu1 Lu 0.0000 0.0000 0.0000 1
Mg1 Mg 0.0000 0.5000 0.5000 1
Mg2 Mg 0.5000 0.0000 0.5000 1
Sn1 Sn 0.5000 0.5000 0.0000 1


Entry 4:
# YSi2Pt2, relaxed, DFT GGA-PBE
# VASP energy ... -6.89 eV/atom
# Volume ... 90 Å³/cell
# Symmetry ... I4/mmm
data_YSi2Pt2
_cell_length_a 5.8280
_cell_length_b 5.8280
_cell_length_c 5.8280
_cell_angle_alpha 137.39
_cell_angle_beta 137.39
_cell_angle_gamma 61.83
_symmetry_space_group_name_H-M 'P 1'
_symmetry_Int_Tables_number 1
_symmetry_space_group_name_Hall 'P 1'
loop_
_atom_site_label
_atom_site_type_symbol
_atom_site_fract_x
_atom_site_fract_y
_atom_site_fract_z
_atom_site_occupancy
Y1 Y 0.0000 0.0000 0.0000 1
Si1 Si 0.2500 0.7500 0.5000 1
Si2 Si 0.7500 0.2500 0.5000 1
Pt1 Pt 0.3659 0.3659 0.0000 1
Pt2 Pt 0.6341 0.6341 0.0000 1


Entry 5:
# Y3In3AgPdPt, relaxed, DFT GGA-PBE
# VASP energy ... -5.40 eV/atom
# Volume ... 203 Å³/cell
# Symmetry ... P-6
data_Y3In3AgPdPt
_cell_length_a 7.8277
_cell_length_b 7.8277
_cell_length_c 3.8226
_cell_angle_alpha 90.00
_cell_angle_beta 90.00
_cell_angle_gamma 120.00
_symmetry_space_group_name_H-M 'P 1'
_symmetry_Int_Tables_number 1
_symmetry_space_group_name_Hall 'P 1'
loop_
_atom_site_label
_atom_site_type_symbol
_atom_site_fract_x
_atom_site_fract_y
_atom_site_fract_z
_atom_site_occupancy
Y1 Y 0.0802 0.3410 0.0000 1
Y2 Y 0.2608 0.9198 0.0000 1
Y3 Y 0.6590 0.7392 0.0000 1
In1 In 0.3952 0.3268 0.5000 1
In2 In 0.6732 0.0685 0.5000 1
In3 In 0.9315 0.6048 0.5000 1
Ag1 Ag 0.6667 0.3333 0.0000 1
Pd1 Pd 0.0000 0.0000 0.5000 1
Pt1 Pt 0.3333 0.6667 0.5000 1


Entry 6:
# CsErTe3Pd, relaxed, DFT GGA-PBE
# VASP energy ... -4.31 eV/atom
# Volume ... 422 Å³/cell
# Symmetry ... Cmcm
data_CsErTe3Pd
_cell_length_a 9.5950
_cell_length_b 9.5950
_cell_length_c 10.2372
_cell_angle_alpha 90.00
_cell_angle_beta 90.00
_cell_angle_gamma 153.43
_symmetry_space_group_name_H-M 'P 1'
_symmetry_Int_Tables_number 1
_symmetry_space_group_name_Hall 'P 1'
loop_
_atom_site_label
_atom_site_type_symbol
_atom_site_fract_x
_atom_site_fract_y
_atom_site_fract_z
_atom_site_occupancy
Cs1 Cs 0.2484 0.7516 0.7500 1
Cs2 Cs 0.7516 0.2484 0.2500 1
Er1 Er 0.0000 0.0000 0.0000 1
Er2 Er 0.0000 0.0000 0.5000 1
Te1 Te 0.0877 0.9123 0.2500 1
Te2 Te 0.3927 0.6073 0.0799 1
Te3 Te 0.3927 0.6073 0.4201 1
Te4 Te 0.6073 0.3927 0.5799 1
Te5 Te 0.6073 0.3927 0.9201 1
Te6 Te 0.9123 0.0877 0.7500 1
Pd1 Pd 0.4999 0.5001 0.2500 1
Pd2 Pd 0.5001 0.4999 0.7500 1


Entry 7:
# GdUB, relaxed, DFT GGA-PBE
# VASP energy ... -7.04 eV/atom
# Excess energy over the best structure of this formula in the dataset ... 0 meV per atom
# Volume ... 61 Å³/cell
# Symmetry ... F-43m
data_GdUB
_cell_length_a 4.4216
_cell_length_b 4.4216
_cell_length_c 4.4216
_cell_angle_alpha 60.00
_cell_angle_beta 60.00
_cell_angle_gamma 60.00
_symmetry_space_group_name_H-M 'P 1'
_symmetry_Int_Tables_number 1
_symmetry_space_group_name_Hall 'P 1'
loop_
_atom_site_label
_atom_site_type_symbol
_atom_site_fract_x
_atom_site_fract_y
_atom_site_fract_z
_atom_site_occupancy
Gd1 Gd 0.0000 0.0000 0.0000 1
U1 U 0.5000 0.5000 0.5000 1
B1 B 0.2500 0.2500 0.2500 1


Entry 8:
# LuAg2Ir, relaxed, DFT GGA-PBE
# VASP energy ... -4.68 eV/atom
# Volume ... 96 Å³/cell
# Symmetry ... F-43m
# Calculated formation energy ... 0.08 eV/atom
data_LuAg2Ir
_cell_length_a 5.1342
_cell_length_b 5.1342
_cell_length_c 5.1342
_cell_angle_alpha 60.00
_cell_angle_beta 60.00
_cell_angle_gamma 60.00
_symmetry_space_group_name_H-M 'P 1'
_symmetry_Int_Tables_number 1
_symmetry_space_group_name_Hall 'P 1'
loop_
_atom_site_label
_atom_site_type_symbol
_atom_site_fract_x
_atom_site_fract_y
_atom_site_fract_z
_atom_site_occupancy
Lu1 Lu 0.0000 0.0000 0.0000 1
Ag1 Ag 0.5000 0.5000 0.5000 1
Ag2 Ag 0.7500 0.7500 0.7500 1
Ir1 Ir 0.2500 0.2500 0.2500 1


Magnetization per entry: 0.00; 0.00; 0.00; 0.01; 0.01; 0.00; 1.99; 0.00 μB per cell